First-principles (PBE-GGA) data for a geometry-optimized CsBSe structure, as listed in the Alexandria database.

Cell lengths 3.2893, 5.3803, 10.3352 Å; angles 83.02, 81.12, 87.45 degrees
Element x y z (fractional)
Cs1 0.0000 0.0000 0.0000
Cs2 0.3923 0.1095 0.5252
B1 0.4431 0.5541 0.7634
B2 0.9426 0.5551 0.7623
Se1 0.4473 0.4754 0.1773
Se2 0.9448 0.6342 0.3483

space-group type = P1 (1)
total energy = -3.60 eV per atom
V = 179.32 Å³/cell
energy relative to the elements, uncorrected = 0.073 eV per atom



First-principles (PBE-GGA) data for a geometry-optimized AgTe2PO structure, as listed in the Alexandria database.

Cell lengths 5.5396, 5.5396, 3.4011 Å; angles 90.00, 90.00, 90.00 degrees
Element x y z (fractional)
Ag1 0.0000 0.0000 0.0000
Te1 0.0000 0.5000 0.5000
Te2 0.5000 0.0000 0.5000
P1 0.5000 0.5000 0.5000
O1 0.5000 0.5000 0.0000

space-group type = P4/mmm (123)
total energy = -4.02 eV per atom
V = 104.37 Å³/cell
energy relative to the elements, uncorrected = -0.117 eV per atom



First-principles (PBE-GGA) data for a geometry-optimized FeAsPb2 structure, as listed in the Alexandria database.

Cell lengths 5.2515, 5.2515, 6.3396 Å; angles 112.81, 112.81, 36.26 degrees
Element x y z (fractional)
Fe1 0.0000 0.0000 0.0000
As1 0.5947 0.5947 0.2938
Pb1 0.2611 0.2611 0.9627
Pb2 0.4146 0.4146 0.5819

space-group type = Cm (8)
total energy = -4.90 eV per atom
energy of formation = 22.35 kJ per mole of atoms
V = 94.40 Å³/cell



First-principles (PBE-GGA) data for a geometry-optimized InAuS2 structure, as listed in the Alexandria database.

Cell lengths 7.2981, 3.7829, 15.9077 Å; angles 90.00, 90.00, 90.00 degrees
Element x y z (fractional)
In1 0.0980 0.2500 0.0944
In2 0.4020 0.7500 0.5944
In3 0.5980 0.2500 0.4056
In4 0.9020 0.7500 0.9056
Au1 0.0428 0.7500 0.3871
Au2 0.4572 0.2500 0.8871
Au3 0.5428 0.7500 0.1129
Au4 0.9572 0.2500 0.6129
S1 0.1591 0.2500 0.9358
S2 0.2448 0.2500 0.6737
S3 0.2552 0.7500 0.1737
S4 0.3409 0.7500 0.4358
S5 0.6591 0.2500 0.5642
S6 0.7448 0.2500 0.8263
S7 0.7552 0.7500 0.3263
S8 0.8409 0.7500 0.0642

space-group type = Pnma (62)
total energy = -3.90 eV per atom
V = 439.18 Å³/cell
energy relative to the elements, uncorrected = -0.334 eV per atom



First-principles (PBE-GGA) data for a geometry-optimized NaBeTeN2 structure, as listed in the Alexandria database.

Cell lengths 3.8678, 3.8678, 5.2970 Å; angles 90.00, 90.00, 90.00 degrees
Element x y z (fractional)
Na1 0.0000 0.0000 0.0000
Be1 0.5000 0.5000 0.5000
Te1 0.5000 0.5000 0.0000
N1 0.0000 0.5000 0.5000
N2 0.5000 0.0000 0.5000

relative energy among the computed polymorphs = 0.00 kcal/mol of atoms
space-group type = P4/mmm (123)
total energy = -3.78 eV per atom
V = 79.24 Å³/cell
energy relative to the elements, uncorrected = 1.185 eV per atom



First-principles (PBE-GGA) data for a geometry-optimized KSrHg14 structure, as listed in the Alexandria database.

Cell lengths 11.2835, 11.2835, 11.2835 Å; angles 123.53, 121.89, 85.37 degrees
Element x y z (fractional)
K1 0.3450 0.0950 0.2500
K2 0.6550 0.9050 0.7500
Sr1 0.0000 0.0000 0.5000
Sr2 0.0000 0.5000 0.0000
Hg1 0.0434 0.6522 0.3911
Hg2 0.0646 0.1776 0.3414
Hg3 0.0646 0.7232 0.8870
Hg4 0.0723 0.1609 0.9114
Hg5 0.1617 0.5405 0.6212
Hg6 0.2389 0.3478 0.8911
Hg7 0.2505 0.8391 0.4114
Hg8 0.2704 0.4479 0.3914
Hg9 0.2704 0.8790 0.8225
Hg10 0.3362 0.1776 0.6130
Hg11 0.3362 0.7232 0.1586
Hg12 0.4194 0.5405 0.8788
Hg13 0.4434 0.1210 0.8914
Hg14 0.4434 0.5521 0.3225
Hg15 0.5566 0.4479 0.6775
Hg16 0.5566 0.8790 0.1086
Hg17 0.5806 0.4595 0.1212
Hg18 0.6638 0.2768 0.8414
Hg19 0.6638 0.8224 0.3870
Hg20 0.7296 0.1210 0.1775
Hg21 0.7296 0.5521 0.6086
Hg22 0.7495 0.1609 0.5886
Hg23 0.7611 0.6522 0.1089
Hg24 0.8383 0.4595 0.3788
Hg25 0.9277 0.8391 0.0886
Hg26 0.9354 0.2768 0.1130
Hg27 0.9354 0.8224 0.6586
Hg28 0.9566 0.3478 0.6089

space-group type = Imma (74)
total energy = -0.57 eV per atom
energy of formation = -12.71 kJ per mole of atoms
V = 970.41 Å³/cell



First-principles (PBE-GGA) data for a geometry-optimized LiPaNO2 structure, as listed in the Alexandria database.

Cell lengths 6.7477, 6.7477, 6.7477 Å; angles 148.81, 148.81, 44.69 degrees
Element x y z (fractional)
Li1 0.0000 0.0000 0.0000
Pa1 0.3506 0.3506 0.0000
N1 0.7782 0.7782 0.0000
O1 0.4459 0.9459 0.5000
O2 0.9459 0.4459 0.5000

space-group type = I4mm (107)
total energy = -7.72 eV per atom
V = 82.14 Å³/cell
energy relative to the elements, uncorrected = -1.792 eV per atom



First-principles (PBE-GGA) data for a geometry-optimized CeMg3Rh4 structure, as listed in the Alexandria database.

Cell lengths 7.8207, 7.8207, 7.8207 Å; angles 33.95, 33.95, 33.95 degrees
Element x y z (fractional)
Ce1 0.0000 0.0000 0.0000
Mg1 0.2432 0.2432 0.2432
Mg2 0.5000 0.5000 0.5000
Mg3 0.7568 0.7568 0.7568
Rh1 0.1221 0.1221 0.1221
Rh2 0.3768 0.3768 0.3768
Rh3 0.6232 0.6232 0.6232
Rh4 0.8779 0.8779 0.8779

space-group type = R-3m (166)
total energy = -5.66 eV per atom
energy of formation = -61.99 kJ per mole of atoms
V = 132.97 Å³/cell